A plane-wave DFT calculation with GGA-PBEsol was carried out for a relaxed structure of Y2ZrGa2.

Summary:
Spin magnetization   0.000 μB per cell
Calculated formation energy   -49.3 kJ/mol of atoms

Structure (CIF):
```
data_Y2ZrGa2
_chemical_formula_sum 'Y4 Zr2 Ga4'
_cell_length_a 7.298
_cell_length_b 7.298
_cell_length_c 4.256
_cell_angle_alpha 90.00
_cell_angle_beta 90.00
_cell_angle_gamma 90.00
_symmetry_space_group_name_H-M 'P 4/m b m'
_symmetry_Int_Tables_number 127
_symmetry_space_group_name_Hall '-P 4 2ab'
loop_
_atom_site_label
_atom_site_type_symbol
_atom_site_fract_x
_atom_site_fract_y
_atom_site_fract_z
_atom_site_occupancy
Y1 Y 0.176 0.324 0.000 1
Zr1 Zr 0.000 0.000 0.500 1
Ga1 Ga 0.125 0.625 0.500 1
```